[1]
Tb4Nd8Mg | PBE | optimized geometry

Unit cell a=7.2152 b=7.2152 c=30.0393 alpha=90.00 beta=90.00 gamma=120.00
Last column: nearest neighbours and their distance in Å.
Space group R-3m (No. 166, hexagonal axes)
Inequivalent atoms, fractional coordinates:
Tb 0.0000 0.0000 0.0000 [3 per cell]  6 Nd 3.47, 6 Tb 3.61
Tb 0.0000 0.5000 0.0000 [9 per cell]  4 Nd 3.54, 6 Tb 3.61
Nd 0.0000 0.0000 0.2186 [6 per cell]  6 Nd 3.66, 3 Tb 4.03
Nd 0.0122 0.5061 0.7608 [18 per cell]  1 Mg 3.07
Mg 0.0000 0.0000 0.5000 [3 per cell]  6 Nd 3.07

Results
**ΔH_f (0 K)**: 0.164 eV/atom
**E**: -4.318 eV per atom
**Calculated volume**: 34.73 A^3/atom
**Density of states at the Fermi level**: 1.3045 states/eV/atom

***

[2]
Tb8Nd6Mg | PBE | optimized geometry

Unit cell a=9.5190 b=9.5190 c=6.3804 alpha=90.00 beta=90.00 gamma=120.00
Last column: nearest neighbours and their distance in Å.
Space group P-3 (No. 147)
Inequivalent atoms, fractional coordinates:
Tb 0.0382 0.2655 0.1862 [6 per cell]  1 Mg 3.10, 3 Tb 3.35-3.43, 1 Nd 3.39
Tb 0.3333 0.6667 0.1627 [2 per cell]  3 Tb 3.43, 6 Nd 3.73-3.77
Nd 0.0893 0.4491 0.6835 [6 per cell]  1 Nd 3.31, 5 Tb 3.39-3.64
Mg 0.0000 0.0000 0.5000 [1 per cell]  6 Tb 3.10

Results
**ΔH_f (0 K)**: 0.124 eV/atom
**E**: -4.359 eV per atom
**Calculated volume**: 33.38 A^3/atom
**Density of states at the Fermi level**: 1.1844 states/eV/atom

***

[3]
Tb3Nd3Mg | PBE | optimized geometry

Unit cell a=6.2619 b=6.2619 c=42.3139 alpha=90.00 beta=90.00 gamma=120.00
Last column: nearest neighbours and their distance in Å.
Space group R-3 (No. 148, hexagonal axes)
Inequivalent atoms, fractional coordinates:
Tb 0.9995 0.3331 0.2008 [18 per cell]  3 Nd 3.56-3.57, 9 Tb 3.56-3.62
Nd 0.0002 0.3331 0.0642 [18 per cell]  2 Mg 3.43, 3 Tb 3.56-3.57, 6 Nd 3.61-3.62
Mg 0.0000 0.0000 0.3333 [6 per cell]  6 Nd 3.43, 3 Mg 3.62

Results
**ΔH_f (0 K)**: 0.089 eV/atom
**E**: -4.167 eV per atom
**Calculated volume**: 34.21 A^3/atom
**Density of states at the Fermi level**: 1.3970 states/eV/atom

***

[4]
Tb4Nd6Mg | PBE | optimized geometry

Unit cell a=6.5873 b=6.5873 c=17.2247 alpha=90.00 beta=90.00 gamma=90.00
Last column: nearest neighbours and their distance in Å.
Space group I-42m (No. 121)
Inequivalent atoms, fractional coordinates:
Tb 0.1824 0.1824 0.3263 [8 per cell]  5 Nd 3.36-3.57, 1 Tb 3.40, 1 Mg 3.44
Nd 0.0000 0.5000 0.0000 [4 per cell]  2 Mg 3.29, 4 Nd 3.32
Nd 0.1727 0.1727 0.1312 [8 per cell]  3 Nd 3.22-3.32, 5 Tb 3.36-3.57
Mg 0.0000 0.0000 0.5000 [2 per cell]  4 Nd 3.29, 4 Tb 3.44

Results
**ΔH_f (0 K)**: 0.263 eV/atom
**E**: -4.166 eV per atom
**Calculated volume**: 33.97 A^3/atom
**Density of states at the Fermi level**: 1.2853 states/eV/atom